(1)
CsCaAu2 (GGA-PBE, optimized geometry); symmetry = Fm-3m, No. 225; energy above the lowest structure with this stoichiometry = 0.262 eV per atom; M_tot = 0.00 μB/cell; formation enthalpy at 0 K = -1.1 eV/f.u.; crystal system = cubic; final energy = -10.474 eV per cell
1.0
0.000 3.965 3.965
3.965 0.000 3.965
3.965 3.965 0.000
Cs Ca Au
1 1 2
Direct
0.500 0.500 0.500
0.000 0.000 0.000
0.250 0.250 0.250
0.750 0.750 0.750

(2)
SmAl2Hg (GGA-PBE, optimized geometry); symmetry = Cmcm, No. 63; energy above the lowest structure with this stoichiometry = 0.000 eV per atom; M_tot = 0.00 μB/cell; formation enthalpy at 0 K = -1.4 eV/f.u.; crystal system = orthorhombic; final energy = -27.723 eV per cell
1.0
4.553 0.000 0.000
-2.276 5.510 0.000
0.000 0.000 6.970
Sm Al Hg
2 4 2
Direct
0.916 0.832 0.250
0.084 0.168 0.750
0.388 0.776 0.942
0.612 0.224 0.058
0.612 0.224 0.442
0.388 0.776 0.558
0.209 0.418 0.250
0.791 0.582 0.750

(3)
Ac2TiAs3Pt4 (GGA-PBE, optimized geometry); symmetry = P-4m2, No. 115; M_tot = 0.00 μB/cell; formation enthalpy at 0 K = -9.1 eV/f.u.; crystal system = tetragonal; final energy = -63.307 eV per cell
1.0
4.424 0.000 0.000
0.000 4.424 0.000
0.000 0.000 10.655
Ac Ti As Pt
2 1 3 4
Direct
0.500 0.000 0.239
0.000 0.500 0.761
0.500 0.500 0.500
0.000 0.000 0.500
0.500 0.000 0.868
0.000 0.500 0.132
0.500 0.500 0.000
0.000 0.000 0.000
0.500 0.000 0.628
0.000 0.500 0.372

(4)
BaMnPt2 (GGA-PBE, optimized geometry); symmetry = Pmm2, No. 25; M_tot = 4.40 μB/cell; formation enthalpy at 0 K = -0.2 eV/f.u.; crystal system = orthorhombic; final energy = -23.376 eV per cell
1.0
-3.143 -0.424 -0.046
0.422 -3.344 1.995
-0.572 3.576 6.115
Ba Mn Pt
1 1 2
Direct
0.000 0.000 0.478
0.500 0.500 0.851
0.000 0.000 0.969
0.500 0.500 0.202

(5)
KRuPt2 (GGA-PBE, optimized geometry); symmetry = Cm, No. 8; energy above the lowest structure with this stoichiometry = 0.059 eV per atom; M_tot = 1.80 μB/cell; formation enthalpy at 0 K = 0.8 eV/f.u.; crystal system = monoclinic; final energy = -86.474 eV per cell
1.0
-5.828 -3.253 -4.285
3.003 -2.580 -2.126
3.751 -3.775 9.882
K Ru Pt
4 4 8
Direct
0.228 0.000 0.939
0.228 0.500 0.439
0.591 0.000 0.577
0.591 0.500 0.077
0.005 0.000 0.546
0.005 0.500 0.046
0.630 0.000 0.321
0.630 0.500 0.821
0.201 0.000 0.204
0.201 0.500 0.704
0.907 0.000 0.270
0.907 0.500 0.770
0.802 0.000 0.989
0.802 0.500 0.489
0.414 0.000 0.750
0.414 0.500 0.250

(6)
Dy7Cd2Ga2 (GGA-PBE, optimized geometry); symmetry = Cmmm, No. 65; M_tot = 0.00 μB/cell; formation enthalpy at 0 K = -0.2 eV/f.u.; crystal system = orthorhombic; final energy = -40.291 eV per cell
1.0
6.426 -0.003 -0.944
0.005 8.049 0.003
-1.343 -0.001 6.355
Dy Cd Ga
7 2 2
Direct
0.000 0.297 0.500
0.500 0.703 0.000
0.000 0.703 0.500
0.500 0.297 0.000
0.000 0.000 0.000
0.500 0.717 0.500
0.500 0.283 0.500
0.699 0.000 0.301
0.301 0.000 0.699
0.830 0.500 0.830
0.170 0.500 0.170

(7)
CdIrAu2 (GGA-PBE, optimized geometry); symmetry = P4mm, No. 99; M_tot = 0.00 μB/cell; formation enthalpy at 0 K = 0.8 eV/f.u.; crystal system = tetragonal; final energy = -15.491 eV per cell
1.0
3.390 0.000 0.000
0.000 3.390 0.000
0.000 0.000 6.137
Ir Au Cd
1 2 1
Direct
0.500 0.500 0.751
0.000 0.000 0.994
0.500 0.500 0.246
0.000 0.000 0.509

(8)
Li3Sc2Pd4 (GGA-PBE, optimized geometry); symmetry = C2/m, No. 12; M_tot = 0.00 μB/cell; formation enthalpy at 0 K = -5.6 eV/f.u.; crystal system = monoclinic; final energy = -44.825 eV per cell
1.0
-2.881 -0.458 3.325
1.465 -0.764 4.108
0.340 8.386 1.449
Li Sc Pd
3 2 4
Direct
0.334 0.333 0.436
0.000 0.000 0.000
0.666 0.667 0.564
0.333 0.334 0.786
0.667 0.666 0.214
0.666 0.667 0.891
0.000 0.000 0.336
0.000 0.000 0.664
0.334 0.333 0.109

(9)
Mg5InAu4 (GGA-PBE, optimized geometry); symmetry = P4/mmm, No. 123; M_tot = 0.00 μB/cell; formation enthalpy at 0 K = -5.0 eV/f.u.; crystal system = tetragonal; final energy = -28.846 eV per cell
1.0
-2.744 -0.682 -1.913
-1.313 -1.858 2.545
-7.380 13.246 5.865
Mg In Au
5 1 4
Direct
0.500 0.500 0.118
0.500 0.500 0.307
0.500 0.500 0.500
0.500 0.500 0.693
0.500 0.500 0.882
0.000 0.000 0.000
0.000 0.000 0.209
0.000 0.000 0.403
0.000 0.000 0.597
0.000 0.000 0.791

(10)
YBeP2 (GGA-PBE, optimized geometry); symmetry = I-4m2, No. 119; M_tot = 0.00 μB/cell; formation enthalpy at 0 K = -1.1 eV/f.u.; crystal system = tetragonal; final energy = -22.114 eV per cell
1.0
5.416 -0.011 0.000
2.788 4.644 0.000
-4.102 -2.316 2.673
Y P Be
1 2 1
Direct
0.500 0.500 0.000
0.000 0.000 0.000
0.250 0.750 0.500
0.750 0.250 0.500

(11)
K4CdI6 (GGA-PBE, optimized geometry); symmetry = Cc, No. 9; energy relative to the elements, uncorrected = -1.21 eV/atom; M_tot = 0.33 μB/cell; crystal system = monoclinic; final energy = -55.879 eV per cell
1.0
8.640 0.000 2.609
3.979 8.341 2.433
-0.179 -0.308 16.205
K Cd I
8 2 12
Direct
0.338 0.958 0.634
0.069 0.458 0.134
0.806 0.277 0.459
0.459 0.777 0.959
0.989 0.648 0.657
0.705 0.148 0.157
0.674 0.245 0.808
0.273 0.745 0.308
0.672 0.785 0.400
0.143 0.285 0.900
0.399 0.532 0.140
0.929 0.032 0.640
0.441 0.649 0.498
0.412 0.149 0.998
0.532 0.104 0.431
0.933 0.604 0.931
0.995 0.068 0.945
0.992 0.568 0.445
0.000 0.141 0.259
0.600 0.641 0.759
0.316 0.278 0.724
0.682 0.778 0.224

(12)
LiCoSn2 (GGA-PBE, optimized geometry); symmetry = Fm-3m, No. 225; energy above the lowest structure with this stoichiometry = 0.024 eV per atom; M_tot = 0.00 μB/cell; formation enthalpy at 0 K = -0.4 eV/f.u.; crystal system = cubic; final energy = -17.380 eV per cell
1.0
0.000 3.229 3.229
3.229 0.000 3.229
3.229 3.229 0.000
Co Sn Li
1 2 1
Direct
0.500 0.500 0.500
0.250 0.250 0.250
0.750 0.750 0.750
0.000 0.000 0.000

(13)
UTeBr3 (GGA-PBE, optimized geometry); symmetry = P2/c, No. 13; energy relative to the elements, uncorrected = -1.04 eV/atom; M_tot = 8.00 μB/cell; crystal system = monoclinic; final energy = -98.512 eV per cell
1.0
7.415 0.000 -0.229
0.000 7.912 0.000
-1.569 0.000 14.167
U Te Br
4 4 12
Direct
0.080 0.374 0.136
0.080 0.626 0.636
0.920 0.374 0.364
0.920 0.626 0.864
0.170 0.095 0.300
0.830 0.095 0.200
0.170 0.905 0.800
0.830 0.905 0.700
0.634 0.232 0.431
0.634 0.768 0.931
0.234 0.445 0.803
0.146 0.687 0.042
0.234 0.555 0.303
0.366 0.768 0.569
0.854 0.687 0.458
0.766 0.445 0.697
0.854 0.313 0.958
0.766 0.555 0.197
0.366 0.232 0.069
0.146 0.313 0.542

(14)
YMn2Tc (GGA-PBE, optimized geometry); symmetry = R-3m, No. 166; energy above the lowest structure with this stoichiometry = 0.000 eV per atom; M_tot = 0.38 μB/cell; formation enthalpy at 0 K = 0.8 eV/f.u.; crystal system = trigonal; final energy = -34.401 eV per cell
1.0
4.076 -0.004 -0.001
2.044 3.527 -0.001
2.040 1.174 5.042
Mn Tc Y
2 1 1
Direct
0.056 0.056 0.833
0.444 0.444 0.667
0.750 0.750 0.750
0.250 0.250 0.250

(15)
CaCrCl (GGA-PBE, optimized geometry); symmetry = P3m1, No. 156; energy relative to the elements, uncorrected = -0.29 eV/atom; energy above the lowest structure with this stoichiometry = 0.013 eV per atom; M_tot = 4.88 μB/cell; crystal system = trigonal; final energy = -14.350 eV per cell
1.0
-1.891 2.804 1.655
0.780 -3.140 1.927
5.723 2.665 2.025
Cr Ca Cl
1 1 1
Direct
0.333 0.667 0.672
0.000 0.000 0.031
0.667 0.333 0.296

(16)
NiRhC (GGA-PBE, optimized geometry); symmetry = F-43m, No. 216; energy above the lowest structure with this stoichiometry = 0.124 eV per atom; M_tot = 0.00 μB/cell; formation enthalpy at 0 K = 1.3 eV/f.u.; crystal system = cubic; final energy = -21.050 eV per cell
1.0
-2.461 2.337 -1.053
-2.676 -1.057 -2.086
-3.301 -0.187 1.302
Ni C Rh
1 1 1
Direct
0.000 0.000 0.000
0.250 0.250 0.250
0.500 0.500 0.500

(17)
Al2GePdO (GGA-PBE, optimized geometry); symmetry = P4/mmm, No. 123; energy relative to the elements, uncorrected = 0.72 eV/atom; M_tot = 0.00 μB/cell; crystal system = tetragonal; final energy = -18.672 eV per cell
1.0
4.785 0.000 0.000
0.000 4.590 0.000
0.000 0.000 4.785
O Ge Al Pd
1 1 2 1
Direct
0.500 0.500 0.500
0.000 0.000 0.000
0.000 0.000 0.500
0.500 0.000 0.000
0.000 0.500 0.000

(18)
La6Tb2CeTm (GGA-PBE, optimized geometry); symmetry = C2/m, No. 12; M_tot = 1.12 μB/cell; formation enthalpy at 0 K = 2.2 eV/f.u.; crystal system = monoclinic; final energy = -46.988 eV per cell
1.0
8.972 0.000 0.771
0.000 6.920 0.000
-2.591 -3.460 5.505
La Tb Ce Tm
6 2 1 1
Direct
0.419 0.665 0.330
0.197 0.113 0.709
0.803 0.404 0.291
0.197 0.596 0.709
0.803 0.887 0.291
0.581 0.335 0.670
0.181 0.102 0.203
0.819 0.898 0.797
0.000 0.500 0.000
0.500 0.000 0.000

(19)
Pm5Er6Mg (GGA-PBE, optimized geometry); symmetry = Immm, No. 71; M_tot = 0.00 μB/cell; formation enthalpy at 0 K = 0.5 eV/f.u.; crystal system = orthorhombic; final energy = -52.233 eV per cell
1.0
5.243 0.022 -1.531
-1.143 7.314 -3.811
-0.005 0.330 9.741
Mg Er Pm
1 6 5
Direct
0.000 0.000 0.000
0.848 0.627 0.694
0.848 0.068 0.695
0.500 0.787 0.000
0.500 0.213 0.000
0.152 0.932 0.305
0.152 0.373 0.306
0.691 0.191 0.383
0.338 0.337 0.675
0.000 0.500 0.000
0.662 0.663 0.325
0.309 0.809 0.617

(20)
K2NpTa3O12 (GGA-PBE, optimized geometry); symmetry = R-3m, No. 166; energy relative to the elements, uncorrected = -2.65 eV/atom; M_tot = 0.00 μB/cell; crystal system = trigonal; final energy = -157.933 eV per cell
1.0
7.635 0.137 0.097
3.889 6.571 0.097
3.889 2.264 6.170
K Np Ta O
2 1 3 12
Direct
0.600 0.600 0.600
0.400 0.400 0.400
0.000 0.000 0.000
0.500 0.000 0.000
0.000 0.500 0.000
0.000 0.000 0.500
0.311 0.311 0.933
0.935 0.935 0.317
0.317 0.935 0.935
0.933 0.311 0.311
0.935 0.317 0.935
0.311 0.933 0.311
0.689 0.689 0.067
0.065 0.065 0.683
0.683 0.065 0.065
0.067 0.689 0.689
0.065 0.683 0.065
0.689 0.067 0.689

(21)
Ba2MgAsIr (GGA-PBE, optimized geometry); symmetry = P4/mmm, No. 123; M_tot = 0.25 μB/cell; formation enthalpy at 0 K = 0.9 eV/f.u.; crystal system = tetragonal; final energy = -18.096 eV per cell
1.0
6.230 0.000 0.000
0.000 4.801 0.000
0.000 0.000 6.230
Mg As Ir Ba
1 1 1 2
Direct
0.000 0.500 0.000
0.000 0.000 0.000
0.500 0.500 0.500
0.000 0.000 0.500
0.500 0.000 0.000

(22)
Ca2Mg3Zn (GGA-PBE, optimized geometry); symmetry = Cmcm, No. 63; energy above the lowest structure with this stoichiometry = 0.227 eV per atom; M_tot = 0.00 μB/cell; formation enthalpy at 0 K = 0.5 eV/f.u.; crystal system = orthorhombic; final energy = -19.154 eV per cell
1.0
-2.324 -3.810 5.425
5.408 0.672 4.433
-2.946 5.688 2.732
Mg Zn Ca
6 2 4
Direct
0.044 0.044 0.750
0.956 0.956 0.250
0.935 0.598 0.750
0.065 0.402 0.250
0.598 0.935 0.750
0.402 0.065 0.250
0.306 0.306 0.750
0.694 0.694 0.250
0.684 0.316 0.000
0.316 0.684 0.500
0.316 0.684 0.000
0.684 0.316 0.500